1:
VASP calculation (PBE-GGA) on a relaxed structure of ReIr2Au.

CIF file:
```
data_ReIr2Au
_chemical_formula_sum 'Re2 Ir4 Au2'
_cell_length_a 9.280
_cell_length_b 2.796
_cell_length_c 4.814
_cell_angle_alpha 90.00
_cell_angle_beta 100.28
_cell_angle_gamma 90.00
_symmetry_space_group_name_H-M 'C 1 m 1'
_symmetry_Int_Tables_number 8
loop_
_symmetry_equiv_pos_as_xyz
'x,y,z'
'x,-y,z'
'x+1/2,y+1/2,z'
'x+1/2,-y+1/2,z'
loop_
_atom_site_label
_atom_site_type_symbol
_atom_site_fract_x
_atom_site_fract_y
_atom_site_fract_z
_atom_site_occupancy
Re1 Re 0.000 0.000 0.000 1
Ir1 Ir 0.242 0.500 0.212 1
Ir2 Ir 0.486 0.000 0.473 1
Au1 Au 0.242 0.000 0.721 1
```


2:
VASP calculation (PBE-GGA) on a relaxed structure of ReIr2Au.

CIF file:
```
data_ReIr2Au
_chemical_formula_sum 'Re2 Ir4 Au2'
_cell_length_a 2.745
_cell_length_b 4.371
_cell_length_c 11.122
_cell_angle_alpha 90.00
_cell_angle_beta 90.00
_cell_angle_gamma 90.00
_symmetry_space_group_name_H-M 'I m m 2'
_symmetry_Int_Tables_number 44
loop_
_symmetry_equiv_pos_as_xyz
'x,y,z'
'-x,-y,z'
'-x,y,z'
'x,-y,z'
'x+1/2,y+1/2,z+1/2'
'-x+1/2,-y+1/2,z+1/2'
'-x+1/2,y+1/2,z+1/2'
'x+1/2,-y+1/2,z+1/2'
loop_
_atom_site_label
_atom_site_type_symbol
_atom_site_fract_x
_atom_site_fract_y
_atom_site_fract_z
_atom_site_occupancy
Re1 Re 0.000 0.000 0.000 1
Ir1 Ir 0.000 0.000 0.424 1
Ir2 Ir 0.000 0.500 0.692 1
Au1 Au 0.000 0.500 0.264 1
```


Which structure is most stable? 1, by 0.090 eV/atom over the runner-up.


1:
VASP calculation (PBE-GGA) on a relaxed structure of Re2IrAu.

CIF file:
```
data_Re2IrAu
_chemical_formula_sum 'Re2 Ir1 Au1'
_cell_length_a 2.741
_cell_length_b 2.741
_cell_length_c 8.190
_cell_angle_alpha 90.00
_cell_angle_beta 90.00
_cell_angle_gamma 90.00
_symmetry_space_group_name_H-M 'P 4/m m m'
_symmetry_Int_Tables_number 123
_symmetry_space_group_name_Hall '-P 4 2'
loop_
_atom_site_label
_atom_site_type_symbol
_atom_site_fract_x
_atom_site_fract_y
_atom_site_fract_z
_atom_site_occupancy
Re1 Re 0.000 0.000 0.238 1
Ir1 Ir 0.500 0.500 0.000 1
Au1 Au 0.500 0.500 0.500 1
```


2:
VASP calculation (PBE-GGA) on a relaxed structure of Re2IrAu.

CIF file:
```
data_Re2IrAu
_chemical_formula_sum 'Re4 Ir2 Au2'
_cell_length_a 2.840
_cell_length_b 4.672
_cell_length_c 9.575
_cell_angle_alpha 90.00
_cell_angle_beta 90.00
_cell_angle_gamma 90.00
_symmetry_space_group_name_H-M 'C m m 2'
_symmetry_Int_Tables_number 35
loop_
_symmetry_equiv_pos_as_xyz
'x,y,z'
'-x,-y,z'
'-x,y,z'
'x,-y,z'
'x+1/2,y+1/2,z'
'-x+1/2,-y+1/2,z'
'-x+1/2,y+1/2,z'
'x+1/2,-y+1/2,z'
loop_
_atom_site_label
_atom_site_type_symbol
_atom_site_fract_x
_atom_site_fract_y
_atom_site_fract_z
_atom_site_occupancy
Re1 Re 0.000 0.000 0.000 1
Re2 Re 0.000 0.500 0.234 1
Ir1 Ir 0.000 0.000 0.470 1
Au1 Au 0.000 0.500 0.734 1
```


3:
VASP calculation (PBE-GGA) on a relaxed structure of Re2IrAu.

CIF file:
```
data_Re2IrAu
_chemical_formula_sum 'Re6 Ir3 Au3'
_cell_length_a 2.7914
_cell_length_b 2.7914
_cell_length_c 27.8398
_cell_angle_alpha 90.00
_cell_angle_beta 90.00
_cell_angle_gamma 120.00
_symmetry_space_group_name_H-M 'R 3 m'
_symmetry_Int_Tables_number 160
_symmetry_space_group_name_Hall 'R 3 -2"'
loop_
_atom_site_label
_atom_site_type_symbol
_atom_site_fract_x
_atom_site_fract_y
_atom_site_fract_z
_atom_site_occupancy
Re1 Re 0.0000 0.0000 0.0000 1
Re2 Re 0.0000 0.0000 0.2551 1
Ir1 Ir 0.0000 0.0000 0.7445 1
Au1 Au 0.0000 0.0000 0.4999 1
```


4:
VASP calculation (PBE-GGA) on a relaxed structure of Re2IrAu.

CIF file:
```
data_Re2IrAu
_chemical_formula_sum 'Re8 Ir4 Au4'
_cell_length_a 6.312
_cell_length_b 6.312
_cell_length_c 6.312
_cell_angle_alpha 90.00
_cell_angle_beta 90.00
_cell_angle_gamma 90.00
_symmetry_space_group_name_H-M 'F m -3 m'
_symmetry_Int_Tables_number 225
_symmetry_space_group_name_Hall '-F 4 2 3'
loop_
_atom_site_label
_atom_site_type_symbol
_atom_site_fract_x
_atom_site_fract_y
_atom_site_fract_z
_atom_site_occupancy
Re1 Re 0.250 0.250 0.250 1
Ir1 Ir 0.000 0.000 0.000 1
Au1 Au 0.000 0.000 0.500 1
```


Which structure is most stable? 3, by 0.104 eV/atom over the runner-up.


1:
VASP calculation (PBE-GGA) on a relaxed structure of Re2IrAu.

CIF file:
```
data_Re2IrAu
_chemical_formula_sum 'Re6 Ir3 Au3'
_cell_length_a 2.7773
_cell_length_b 2.7773
_cell_length_c 27.7931
_cell_angle_alpha 90.00
_cell_angle_beta 90.00
_cell_angle_gamma 120.00
_symmetry_space_group_name_H-M 'R -3 m'
_symmetry_Int_Tables_number 166
_symmetry_space_group_name_Hall '-R 3 2"'
loop_
_atom_site_label
_atom_site_type_symbol
_atom_site_fract_x
_atom_site_fract_y
_atom_site_fract_z
_atom_site_occupancy
Re1 Re 0.0000 0.0000 0.2455 1
Ir1 Ir 0.0000 0.0000 0.5000 1
Au1 Au 0.0000 0.0000 0.0000 1
```


2:
VASP calculation (PBE-GGA) on a relaxed structure of Re2IrAu.

CIF file:
```
data_Re2IrAu
_chemical_formula_sum 'Re2 Ir1 Au1'
_cell_length_a 2.799
_cell_length_b 2.799
_cell_length_c 7.927
_cell_angle_alpha 90.00
_cell_angle_beta 90.00
_cell_angle_gamma 90.00
_symmetry_space_group_name_H-M 'P 4 m m'
_symmetry_Int_Tables_number 99
loop_
_symmetry_equiv_pos_as_xyz
'x,y,z'
'-y,x,z'
'-x,-y,z'
'y,-x,z'
'-x,y,z'
'y,x,z'
'x,-y,z'
'-y,-x,z'
loop_
_atom_site_label
_atom_site_type_symbol
_atom_site_fract_x
_atom_site_fract_y
_atom_site_fract_z
_atom_site_occupancy
Re1 Re 0.000 0.000 0.000 1
Re2 Re 0.500 0.500 0.239 1
Ir1 Ir 0.500 0.500 0.772 1
Au1 Au 0.000 0.000 0.501 1
```


Which structure is most stable? 2, by 0.039 eV/atom over the runner-up.


1:
VASP calculation (PBE-GGA) on a relaxed structure of IrRh2Au.

CIF file:
```
data_IrRh2Au
_chemical_formula_sum 'Ir2 Rh4 Au2'
_cell_length_a 2.752
_cell_length_b 4.723
_cell_length_c 9.567
_cell_angle_alpha 90.00
_cell_angle_beta 90.00
_cell_angle_gamma 90.00
_symmetry_space_group_name_H-M 'I m m m'
_symmetry_Int_Tables_number 71
_symmetry_space_group_name_Hall '-I 2 2'
loop_
_atom_site_label
_atom_site_type_symbol
_atom_site_fract_x
_atom_site_fract_y
_atom_site_fract_z
_atom_site_occupancy
Ir1 Ir 0.000 0.000 0.000 1
Rh1 Rh 0.000 0.500 0.265 1
Au1 Au 0.000 0.000 0.500 1
```


2:
VASP calculation (PBE-GGA) on a relaxed structure of IrRh2Au.

CIF file:
```
data_IrRh2Au
_chemical_formula_sum 'Ir1 Rh2 Au1'
_cell_length_a 2.787
_cell_length_b 3.826
_cell_length_c 5.701
_cell_angle_alpha 90.00
_cell_angle_beta 90.00
_cell_angle_gamma 90.00
_symmetry_space_group_name_H-M 'P m m m'
_symmetry_Int_Tables_number 47
loop_
_symmetry_equiv_pos_as_xyz
'x,y,z'
'-x,-y,-z'
'-x,-y,z'
'x,y,-z'
'x,-y,-z'
'-x,y,z'
'-x,y,-z'
'x,-y,z'
loop_
_atom_site_label
_atom_site_type_symbol
_atom_site_fract_x
_atom_site_fract_y
_atom_site_fract_z
_atom_site_occupancy
Ir1 Ir 0.000 0.000 0.000 1
Rh1 Rh 0.500 0.500 0.233 1
Au1 Au 0.000 0.000 0.500 1
```


Which structure is most stable? 2, by 0.146 eV/atom over the runner-up.


1:
VASP calculation (PBE-GGA) on a relaxed structure of IrRh2Au.

CIF file:
```
data_IrRh2Au
_chemical_formula_sum 'Ir2 Rh4 Au2'
_cell_length_a 9.183
_cell_length_b 2.787
_cell_length_c 4.823
_cell_angle_alpha 90.00
_cell_angle_beta 100.37
_cell_angle_gamma 90.00
_symmetry_space_group_name_H-M 'C 1 m 1'
_symmetry_Int_Tables_number 8
loop_
_symmetry_equiv_pos_as_xyz
'x,y,z'
'x,-y,z'
'x+1/2,y+1/2,z'
'x+1/2,-y+1/2,z'
loop_
_atom_site_label
_atom_site_type_symbol
_atom_site_fract_x
_atom_site_fract_y
_atom_site_fract_z
_atom_site_occupancy
Ir1 Ir 0.000 0.000 0.000 1
Rh1 Rh 0.241 0.500 0.225 1
Rh2 Rh 0.489 0.000 0.476 1
Au1 Au 0.245 0.000 0.729 1
```


2:
VASP calculation (PBE-GGA) on a relaxed structure of IrRh2Au.

CIF file:
```
data_IrRh2Au
_chemical_formula_sum 'Ir2 Rh4 Au2'
_cell_length_a 3.928
_cell_length_b 3.928
_cell_length_c 7.834
_cell_angle_alpha 90.00
_cell_angle_beta 90.00
_cell_angle_gamma 90.00
_symmetry_space_group_name_H-M 'I 4/m m m'
_symmetry_Int_Tables_number 139
_symmetry_space_group_name_Hall '-I 4 2'
loop_
_atom_site_label
_atom_site_type_symbol
_atom_site_fract_x
_atom_site_fract_y
_atom_site_fract_z
_atom_site_occupancy
Ir1 Ir 0.000 0.000 0.000 1
Rh1 Rh 0.000 0.500 0.250 1
Au1 Au 0.000 0.000 0.500 1
```


3:
VASP calculation (PBE-GGA) on a relaxed structure of IrRh2Au.

CIF file:
```
data_IrRh2Au
_chemical_formula_sum 'Ir2 Rh4 Au2'
_cell_length_a 2.742
_cell_length_b 4.755
_cell_length_c 9.519
_cell_angle_alpha 90.00
_cell_angle_beta 90.00
_cell_angle_gamma 90.00
_symmetry_space_group_name_H-M 'C m m 2'
_symmetry_Int_Tables_number 35
loop_
_symmetry_equiv_pos_as_xyz
'x,y,z'
'-x,-y,z'
'-x,y,z'
'x,-y,z'
'x+1/2,y+1/2,z'
'-x+1/2,-y+1/2,z'
'-x+1/2,y+1/2,z'
'x+1/2,-y+1/2,z'
loop_
_atom_site_label
_atom_site_type_symbol
_atom_site_fract_x
_atom_site_fract_y
_atom_site_fract_z
_atom_site_occupancy
Ir1 Ir 0.000 0.000 0.000 1
Rh1 Rh 0.000 0.000 0.477 1
Rh2 Rh 0.000 0.500 0.238 1
Au1 Au 0.000 0.500 0.736 1
```


4:
VASP calculation (PBE-GGA) on a relaxed structure of IrRh2Au.

CIF file:
```
data_IrRh2Au
_chemical_formula_sum 'Ir3 Rh6 Au3'
_cell_length_a 2.7823
_cell_length_b 2.7823
_cell_length_c 27.2037
_cell_angle_alpha 90.00
_cell_angle_beta 90.00
_cell_angle_gamma 120.00
_symmetry_space_group_name_H-M 'R -3 m'
_symmetry_Int_Tables_number 166
_symmetry_space_group_name_Hall '-R 3 2"'
loop_
_atom_site_label
_atom_site_type_symbol
_atom_site_fract_x
_atom_site_fract_y
_atom_site_fract_z
_atom_site_occupancy
Ir1 Ir 0.0000 0.0000 0.0000 1
Rh1 Rh 0.0000 0.0000 0.2545 1
Au1 Au 0.0000 0.0000 0.5000 1
```


Which structure is most stable? 4, by 0.093 eV/atom over the runner-up.


1:
VASP calculation (PBE-GGA) on a relaxed structure of IrRh2Au.

CIF file:
```
data_IrRh2Au
_chemical_formula_sum 'Ir1 Rh2 Au1'
_cell_length_a 2.774
_cell_length_b 2.774
_cell_length_c 7.908
_cell_angle_alpha 90.00
_cell_angle_beta 90.00
_cell_angle_gamma 90.00
_symmetry_space_group_name_H-M 'P 4/m m m'
_symmetry_Int_Tables_number 123
_symmetry_space_group_name_Hall '-P 4 2'
loop_
_atom_site_label
_atom_site_type_symbol
_atom_site_fract_x
_atom_site_fract_y
_atom_site_fract_z
_atom_site_occupancy
Ir1 Ir 0.000 0.000 0.000 1
Rh1 Rh 0.500 0.500 0.232 1
Au1 Au 0.000 0.000 0.500 1
```


2:
VASP calculation (PBE-GGA) on a relaxed structure of IrRh2Au.

CIF file:
```
data_IrRh2Au
_chemical_formula_sum 'Ir2 Rh4 Au2'
_cell_length_a 2.735
_cell_length_b 4.763
_cell_length_c 9.526
_cell_angle_alpha 90.00
_cell_angle_beta 90.00
_cell_angle_gamma 90.00
_symmetry_space_group_name_H-M 'C m m m'
_symmetry_Int_Tables_number 65
_symmetry_space_group_name_Hall '-C 2 2'
loop_
_atom_site_label
_atom_site_type_symbol
_atom_site_fract_x
_atom_site_fract_y
_atom_site_fract_z
_atom_site_occupancy
Ir1 Ir 0.000 0.000 0.000 1
Rh1 Rh 0.000 0.500 0.238 1
Au1 Au 0.000 0.000 0.500 1
```


Which structure is most stable? 1, by 0.177 eV/atom over the runner-up.